VASP calculation (GGA-PBEsol) on CsSn3Br after structural relaxation.

Lattice parameters (Å, degrees): 5.7027 5.7027 5.7027 90.00 90.00 90.00
Last column: nearest neighbours and their distance in Å.
Positions (direct):
Cs 0.0000 0.0000 0.0000  12 Sn 4.03
Sn 0.0000 0.5000 0.5000  2 Br 2.85
Sn 0.5000 0.0000 0.5000  2 Br 2.85
Sn 0.5000 0.5000 0.0000  2 Br 2.85
Br 0.5000 0.5000 0.5000  6 Sn 2.85

Summary:
space group: Pm-3m
formation energy (no corrections): 0.3123 eV per atom
crystal system: cubic

=====

VASP calculation (GGA-PBEsol) on CsSnBr3 after structural relaxation.

Lattice parameters (Å, degrees): 8.2104 11.4976 7.9505 90.00 90.00 90.00
Last column: nearest neighbours and their distance in Å.
Positions (direct):
Cs 0.0514 0.2500 0.0160  8 Br 3.66-3.89
Cs 0.4486 0.7500 0.5160  8 Br 3.66-3.89
Cs 0.5514 0.2500 0.4840  8 Br 3.66-3.89
Cs 0.9486 0.7500 0.9840  8 Br 3.66-3.89
Sn 0.0000 0.0000 0.5000  6 Br 2.91-2.92
Sn 0.0000 0.5000 0.5000  6 Br 2.91-2.92
Sn 0.5000 0.0000 0.0000  6 Br 2.91-2.92
Sn 0.5000 0.5000 0.0000  6 Br 2.91-2.92
Br 0.0052 0.7500 0.4462  2 Sn 2.91
Br 0.2102 0.5284 0.7921  2 Sn 2.91-2.92
Br 0.2102 0.9716 0.7921  2 Sn 2.91-2.92
Br 0.2898 0.0284 0.2921  2 Sn 2.91-2.92
Br 0.2898 0.4716 0.2921  2 Sn 2.91-2.92
Br 0.4948 0.2500 0.9462  2 Sn 2.91
Br 0.5052 0.7500 0.0538  2 Sn 2.91
Br 0.7101 0.5284 0.7079  2 Sn 2.91-2.92
Br 0.7101 0.9716 0.7079  2 Sn 2.91-2.92
Br 0.7899 0.0284 0.2079  2 Sn 2.91-2.92
Br 0.7899 0.4716 0.2079  2 Sn 2.91-2.92
Br 0.9948 0.2500 0.5538  2 Sn 2.91

Summary:
space group: Pnma
formation energy (no corrections): -1.2079 eV per atom
crystal system: orthorhombic

=====

VASP calculation (GGA-PBEsol) on CsSrBr2 after structural relaxation.

Lattice parameters (Å, degrees): 5.7353 5.7353 5.7353 60.00 60.00 60.00
Last column: nearest neighbours and their distance in Å.
Positions (direct):
Cs 0.0000 0.0000 0.0000  8 Br 3.51
Sr 0.5000 0.5000 0.5000  8 Br 3.51
Br 0.2500 0.2500 0.2500  4 Sr 3.51, 4 Cs 3.51
Br 0.7500 0.7500 0.7500  4 Sr 3.51, 4 Cs 3.51

Summary:
space group: Fm-3m
formation energy (no corrections): -1.3416 eV per atom
crystal system: cubic

=====

VASP calculation (GGA-PBEsol) on CsSrTa2Br after structural relaxation.

Lattice parameters (Å, degrees): 4.8445 4.8445 6.0212 90.00 90.00 90.00
Last column: nearest neighbours and their distance in Å.
Positions (direct):
Cs 0.0000 0.0000 0.0000  4 Sr 3.43
Sr 0.5000 0.5000 0.0000  2 Br 3.01
Ta 0.0000 0.5000 0.5000  2 Br 2.42
Ta 0.5000 0.0000 0.5000  2 Br 2.42
Br 0.5000 0.5000 0.5000  4 Ta 2.42

Summary:
space group: P4/mmm
formation energy (no corrections): 1.2348 eV per atom
crystal system: tetragonal

=====

VASP calculation (GGA-PBEsol) on CsTlBr4 after structural relaxation.

Lattice parameters (Å, degrees): 6.8032 7.4833 17.5443 90.00 90.00 90.00
Last column: nearest neighbours and their distance in Å.
Positions (direct):
Cs 0.1189 0.0506 0.3707  10 Br 3.68-4.02
Cs 0.3811 0.9494 0.8707  10 Br 3.68-4.02
Cs 0.6189 0.4494 0.6293  10 Br 3.68-4.02
Cs 0.8811 0.5506 0.1293  10 Br 3.68-4.02
Tl 0.0998 0.0287 0.6316  4 Br 2.58-2.61
Tl 0.4002 0.9713 0.1316  4 Br 2.58-2.61
Tl 0.5998 0.4713 0.3684  4 Br 2.58-2.61
Tl 0.9002 0.5287 0.8684  4 Br 2.58-2.61
Br 0.0358 0.0469 0.1634  1 Tl 2.60
Br 0.0653 0.3029 0.9588  1 Tl 2.58
Br 0.0809 0.5978 0.7420  1 Tl 2.59
Br 0.1176 0.3252 0.5534  1 Tl 2.61
Br 0.3824 0.6748 0.0534  1 Tl 2.61
Br 0.4191 0.4022 0.2420  1 Tl 2.59
Br 0.4347 0.6971 0.4588  1 Tl 2.58
Br 0.4642 0.9531 0.6634  1 Tl 2.60
Br 0.5358 0.4531 0.8366  1 Tl 2.60
Br 0.5653 0.1971 0.0412  1 Tl 2.58
Br 0.5809 0.9022 0.2580  1 Tl 2.59
Br 0.6176 0.1748 0.4466  1 Tl 2.61
Br 0.8824 0.8252 0.9466  1 Tl 2.61
Br 0.9191 0.0978 0.7580  1 Tl 2.59
Br 0.9347 0.8029 0.5412  1 Tl 2.58
Br 0.9642 0.5469 0.3366  1 Tl 2.60

Summary:
space group: P2_12_12_1
formation energy (no corrections): -0.9430 eV per atom
crystal system: orthorhombic

=====

VASP calculation (GGA-PBEsol) on Cs2Tl2Br after structural relaxation.

Lattice parameters (Å, degrees): 11.3196 11.3196 11.3196 157.74 157.74 31.69
Last column: nearest neighbours and their distance in Å.
Positions (direct):
Cs 0.0924 0.0924 0.0000  4 Br 3.69, 1 Cs 4.02, 4 Tl 4.07
Cs 0.9076 0.9076 0.0000  4 Br 3.69, 1 Cs 4.02, 4 Tl 4.07
Tl 0.2500 0.7500 0.5000  4 Tl 3.09
Tl 0.7500 0.2500 0.5000  4 Tl 3.09
Br 0.5000 0.5000 0.0000  8 Cs 3.69

Summary:
space group: I4/mmm
formation energy (no corrections): -0.7011 eV per atom
crystal system: tetragonal

=====

no.,final energy (eV for the cell shown)
1,-14.0
2,-67.4
3,-11.9
4,-23.6
5,-66.8
6,-12.5